1.
A plane-wave DFT calculation with GGA-PBE was carried out for a geometry-optimized Rb2Mo15Se19 structure.

Cell and atoms, written as POSCAR:
```
Rb2Mo15Se19
1.0
4.965 2.866 19.677
-4.965 2.866 19.677
0.000 -5.733 19.677
Rb Mo Se
4 30 38
Cartesian
0.000 0.000 6.696
0.000 0.000 22.820
0.000 0.000 36.213
0.000 0.000 52.336
-4.328 1.452 20.814
-1.534 -0.078 12.462
-0.779 -1.348 14.758
-3.421 -3.023 38.218
-1.534 0.078 17.054
0.907 -4.474 20.814
0.835 -1.290 12.462
-0.779 1.348 14.758
0.700 -1.368 17.054
-1.543 -0.156 28.379
0.700 1.368 12.462
-0.636 -1.415 30.653
1.557 0.000 14.758
0.835 1.290 17.054
0.907 -1.259 28.379
-0.907 1.259 30.653
-0.835 -1.290 41.978
-1.557 0.000 44.274
0.636 1.415 28.379
-0.700 -1.368 46.570
1.543 0.156 30.653
-0.700 1.368 41.978
0.779 -1.348 44.274
-0.835 1.290 46.570
-0.907 4.474 38.218
1.534 -0.078 41.978
3.421 3.023 20.814
0.779 1.348 44.274
1.534 0.078 46.570
4.328 -1.452 38.218
-3.320 -0.345 22.486
-1.259 -2.981 20.654
-1.958 -2.866 24.597
0.000 0.000 3.162
-3.603 -0.182 26.708
0.000 0.000 10.425
-1.644 -3.211 32.325
-1.259 -2.751 28.539
-3.012 -0.285 30.493
-3.461 0.262 34.436
-1.952 2.581 20.654
-3.212 -0.400 38.378
-1.361 -3.048 36.546
0.000 0.000 19.091
1.959 -2.703 22.486
0.000 0.000 26.354
-1.504 3.128 24.597
-1.753 2.466 28.539
1.959 -3.030 26.708
-1.959 3.030 32.325
1.753 -2.466 30.493
1.504 -3.128 34.436
0.000 0.000 32.678
-1.959 2.703 36.546
0.000 0.000 39.942
1.361 3.048 22.486
3.212 0.400 20.654
1.952 -2.581 38.378
3.461 -0.262 24.597
3.012 0.285 28.539
1.259 2.751 30.493
1.644 3.211 26.708
0.000 0.000 48.607
3.603 0.182 32.325
0.000 0.000 55.870
1.958 2.866 34.436
1.259 2.981 38.378
3.320 0.345 36.546
```

Results
Formation energy without anion corrections = -22.19 eV per formula unit
V = 23.335 Å³/atom
Crystal system = trigonal
Space group = R-3c, No. 167
DFT total energy = -7.022 eV/atom

=====

2.
A plane-wave DFT calculation with GGA-PBE was carried out for a geometry-optimized ScP3Pb structure.

Cell and atoms, written as POSCAR:
```
ScP3Pb
1.0
4.963 0.000 0.000
0.000 4.963 0.000
0.000 0.000 4.963
Sc P Pb
1 3 1
Cartesian
0.000 0.000 0.000
0.000 0.000 2.481
0.000 2.481 0.000
2.481 0.000 0.000
2.481 2.481 2.481
```

Results
E above lowest polymorph = 0.000 eV/atom
V = 24.448 Å³/atom
Crystal system = cubic
Space group = Pm-3m, No. 221
DFT total energy = -5.034 eV/atom
ΔE_f = 21 kJ per mole of atoms

=====

3.
A plane-wave DFT calculation with GGA-PBE was carried out for a geometry-optimized Tl3Pb5Au3 structure.

Cell and atoms, written as POSCAR:
```
Tl3Pb5Au3
1.0
9.655 0.000 0.000
-4.828 8.362 0.000
0.000 0.000 4.187
Tl Pb Au
3 5 3
Cartesian
-2.162 3.744 0.000
4.324 0.000 0.000
2.666 4.617 0.000
-0.963 1.669 2.094
1.927 0.000 2.094
0.000 5.574 2.094
4.828 2.787 2.094
3.864 6.693 2.094
-3.149 5.454 2.094
1.679 2.908 2.094
6.297 0.000 2.094
```

Results
V = 30.731 Å³/atom
Crystal system = hexagonal
Space group = P-62m, No. 189
DFT total energy = -3.118 eV/atom
ΔE_f = 10 kJ per mole of atoms

=====

4.
A plane-wave DFT calculation with GGA-PBE was carried out for a geometry-optimized KGeMoRh2 structure.

Cell and atoms, written as POSCAR:
```
KGeMoRh2
1.0
4.633 0.000 0.000
0.000 4.633 0.000
0.000 0.000 5.342
K Ge Mo Rh
1 1 1 2
Cartesian
0.000 0.000 0.000
0.000 0.000 2.671
2.316 2.316 0.000
0.000 2.316 2.671
2.316 0.000 2.671
```

Results
E above lowest polymorph = 0.493 eV/atom
V = 22.933 Å³/atom
Crystal system = tetragonal
Space group = P4/mmm, No. 123
DFT total energy = -5.065 eV/atom
ΔE_f = 114 kJ per mole of atoms

=====

5.
A plane-wave DFT calculation with GGA-PBE was carried out for a geometry-optimized RbLa2Ti structure.

Cell and atoms, written as POSCAR:
```
RbLa2Ti
1.0
-4.308 4.308 4.419
4.308 -4.308 4.419
4.308 4.308 -4.419
Rb La Ti
2 4 2
Cartesian
0.000 0.000 0.000
0.000 4.308 2.209
2.154 -0.950 3.314
3.357 2.154 1.105
2.154 5.258 -1.105
0.950 2.154 5.524
4.308 0.000 2.209
0.000 0.000 4.419
```

Results
E above lowest polymorph = 0.095 eV/atom
V = 40.999 Å³/atom
Crystal system = tetragonal
Space group = I-42d, No. 122
DFT total energy = -3.815 eV/atom
ΔE_f = 83 kJ per mole of atoms

=====

6.
A plane-wave DFT calculation with GGA-PBE was carried out for a geometry-optimized FeCuSb structure.

Cell and atoms, written as POSCAR:
```
FeCuSb
1.0
4.064 0.000 0.000
-2.032 3.520 0.000
0.000 0.000 7.798
Fe Cu Sb
2 2 2
Cartesian
0.000 0.000 0.000
0.000 2.346 7.631
2.032 1.173 1.212
2.032 1.173 3.729
0.000 2.346 2.473
2.032 1.173 6.267
```

Results
Formation energy without anion corrections = 0.39 eV per formula unit
V = 18.592 Å³/atom
Crystal system = trigonal
Space group = P3m1, No. 156
DFT total energy = -5.432 eV/atom

=====

7.
A plane-wave DFT calculation with GGA-PBE was carried out for a geometry-optimized Zn2TeW structure.

Cell and atoms, written as POSCAR:
```
Zn2TeW
1.0
-1.737 2.182 4.623
1.737 -2.182 4.623
1.737 2.182 -4.623
Zn Te W
2 1 1
Cartesian
0.000 0.000 2.252
0.000 0.000 6.994
0.000 2.182 0.000
1.737 0.000 0.000
```

Results
Formation energy without anion corrections = 2.45 eV per formula unit
V = 17.523 Å³/atom
Crystal system = orthorhombic
Space group = Immm, No. 71
DFT total energy = -4.049 eV/atom

=====

8.
A plane-wave DFT calculation with GGA-PBE was carried out for a geometry-optimized MgUPd6 structure.

Cell and atoms, written as POSCAR:
```
MgUPd6
1.0
2.714 1.567 6.705
-2.714 1.567 6.705
0.000 -3.134 6.705
Mg U Pd
1 1 6
Cartesian
0.000 0.000 0.000
0.000 0.000 10.057
-1.386 -0.800 8.055
0.000 -1.601 12.060
-1.386 0.800 12.060
1.386 -0.800 8.055
0.000 1.601 8.055
1.386 0.800 12.060
```

Results
E above lowest polymorph = 0.485 eV/atom
V = 21.389 Å³/atom
Crystal system = trigonal
Space group = R-3m, No. 166
DFT total energy = -5.597 eV/atom
ΔE_f = -9 kJ per mole of atoms

=====

9.
A plane-wave DFT calculation with GGA-PBE was carried out for a geometry-optimized BaSc2Hg structure.

Cell and atoms, written as POSCAR:
```
BaSc2Hg
1.0
1.795 1.036 10.690
-1.795 1.036 10.690
0.000 -2.072 10.690
Ba Sc Hg
1 2 1
Cartesian
0.000 0.000 0.000
0.000 0.000 7.524
0.000 0.000 24.547
0.000 0.000 16.035
```

Results
V = 29.818 Å³/atom
Crystal system = trigonal
Space group = R-3m, No. 166
DFT total energy = -3.618 eV/atom
ΔE_f = 10 kJ per mole of atoms

=====

10.
A plane-wave DFT calculation with GGA-PBE was carried out for a geometry-optimized Dy4AgHg2 structure.

Cell and atoms, written as POSCAR:
```
Dy4AgHg2
1.0
2.576 1.487 8.402
-2.576 1.487 8.402
0.000 -2.974 8.402
Dy Ag Hg
4 1 2
Cartesian
0.000 0.000 3.107
0.000 0.000 9.424
0.000 0.000 15.780
0.000 0.000 22.097
0.000 0.000 12.602
0.000 0.000 6.357
0.000 0.000 18.848
```

Results
V = 27.587 Å³/atom
Crystal system = trigonal
Space group = R-3m, No. 166
DFT total energy = -3.393 eV/atom
ΔE_f = -26 kJ per mole of atoms

=====

11.
A plane-wave DFT calculation with GGA-PBE was carried out for a geometry-optimized Na3In2Ga4 structure.

Cell and atoms, written as POSCAR:
```
Na3In2Ga4
1.0
4.706 0.000 0.000
-2.346 5.547 0.000
-0.123 -2.563 8.725
Na In Ga
3 2 4
Cartesian
0.000 0.000 0.000
-0.073 2.643 5.473
2.310 0.341 3.252
-0.025 2.599 2.187
2.262 0.385 6.538
-0.078 -0.753 5.538
-0.104 1.008 8.176
2.341 1.976 0.549
2.315 3.737 3.187
```

Results
E above lowest polymorph = 0.063 eV/atom
V = 25.305 Å³/atom
Crystal system = triclinic
Space group = P-1, No. 2
DFT total energy = -2.435 eV/atom
ΔE_f = -4 kJ per mole of atoms

=====

12.
A plane-wave DFT calculation with GGA-PBE was carried out for a geometry-optimized Dy3Tl2Te2 structure.

Cell and atoms, written as POSCAR:
```
Dy3Tl2Te2
1.0
5.341 -2.313 0.000
5.341 2.313 0.000
-2.487 0.000 8.837
Dy Tl Te
3 2 2
Cartesian
0.000 0.000 0.000
0.502 0.000 6.128
7.692 0.000 2.709
3.405 0.000 0.719
4.789 0.000 8.118
0.253 0.000 3.088
7.941 0.000 5.750
```

Results
Formation energy without anion corrections = -5.28 eV per formula unit
V = 31.192 Å³/atom
Crystal system = monoclinic
Space group = C2/m, No. 12
DFT total energy = -4.300 eV/atom

=====

13.
A plane-wave DFT calculation with GGA-PBE was carried out for a geometry-optimized KY2Fe structure.

Cell and atoms, written as POSCAR:
```
KY2Fe
1.0
-2.326 2.326 5.321
2.326 -2.326 5.321
2.326 2.326 -5.321
K Y Fe
1 2 1
Cartesian
0.000 0.000 0.000
2.326 0.000 2.660
0.000 0.000 5.321
0.000 2.326 2.660
```

Results
E above lowest polymorph = 0.653 eV/atom
V = 28.798 Å³/atom
Crystal system = tetragonal
Space group = I-4m2, No. 119
DFT total energy = -4.762 eV/atom
ΔE_f = 83 kJ per mole of atoms

=====

14.
A plane-wave DFT calculation with GGA-PBE was carried out for a geometry-optimized Rb3Dy2PuO6 structure.

Cell and atoms, written as POSCAR:
```
Rb3Dy2PuO6
1.0
3.074 -5.325 0.000
3.074 5.325 0.000
-2.050 0.000 6.562
Rb Dy Pu O
3 2 1 6
Cartesian
0.000 0.000 0.000
3.074 1.784 0.000
3.074 -1.784 0.000
2.050 3.551 3.281
2.050 -3.551 3.281
2.050 0.000 3.281
1.007 1.805 2.126
-0.035 0.000 4.436
1.007 -1.805 2.126
3.092 1.805 4.436
4.134 0.000 2.126
3.092 -1.805 4.436
```

Results
Formation energy without anion corrections = -30.60 eV per formula unit
V = 17.904 Å³/atom
Crystal system = monoclinic
Space group = C2/m, No. 12
DFT total energy = -7.232 eV/atom

=====

15.
A plane-wave DFT calculation with GGA-PBE was carried out for a geometry-optimized ThNiSn structure.

Cell and atoms, written as POSCAR:
```
ThNiSn
1.0
0.000 3.495 3.495
3.495 0.000 3.495
3.495 3.495 0.000
Th Ni Sn
1 1 1
Cartesian
0.000 0.000 0.000
5.242 5.242 5.242
1.747 1.747 1.747
```

Results
V = 28.452 Å³/atom
Crystal system = cubic
Space group = F-43m, No. 216
DFT total energy = -5.413 eV/atom
ΔE_f = 31 kJ per mole of atoms

=====

16.
A plane-wave DFT calculation with GGA-PBE was carried out for a geometry-optimized CsBe2OsS structure.

Cell and atoms, written as POSCAR:
```
CsBe2OsS
1.0
4.047 0.000 0.000
0.000 4.047 0.000
0.000 0.000 6.010
Cs Be Os S
1 2 1 1
Cartesian
0.000 0.000 0.000
0.000 2.024 3.005
2.024 0.000 3.005
2.024 2.024 0.000
0.000 0.000 3.005
```

Results
Formation energy without anion corrections = 7.91 eV per formula unit
V = 19.690 Å³/atom
Crystal system = tetragonal
Space group = P4/mmm, No. 123
DFT total energy = -3.151 eV/atom

=====

17.
A plane-wave DFT calculation with GGA-PBE was carried out for a geometry-optimized PmHoTm2In4 structure.

Cell and atoms, written as POSCAR:
```
PmHoTm2In4
1.0
2.656 1.534 8.704
-2.656 1.534 8.704
0.000 -3.067 8.704
Pm Ho Tm In
1 1 2 4
Cartesian
0.000 0.000 0.000
0.000 0.000 13.056
0.000 0.000 6.517
0.000 0.000 19.594
0.000 0.000 3.295
0.000 0.000 9.826
0.000 0.000 16.285
0.000 0.000 22.817
```

Results
V = 26.590 Å³/atom
Crystal system = trigonal
Space group = R-3m, No. 166
DFT total energy = -4.100 eV/atom
ΔE_f = -43 kJ per mole of atoms

=====

18.
A plane-wave DFT calculation with GGA-PBE was carried out for a geometry-optimized La6NiRu2Br3 structure.

Cell and atoms, written as POSCAR:
```
La6NiRu2Br3
1.0
3.588 -6.215 0.000
3.588 6.215 0.000
-2.391 0.000 7.969
La Ni Ru Br
6 1 2 3
Cartesian
-0.016 2.101 6.413
1.161 0.000 1.556
-0.016 -2.101 6.413
4.801 2.101 1.556
3.623 0.000 6.413
4.801 -2.101 1.556
3.588 0.000 0.000
3.588 4.145 0.000
3.588 -4.145 0.000
-1.196 0.000 3.985
2.392 2.090 3.985
2.392 -2.090 3.985
```

Results
Formation energy without anion corrections = -11.31 eV per formula unit
V = 29.619 Å³/atom
Crystal system = monoclinic
Space group = C2/m, No. 12
DFT total energy = -5.852 eV/atom

=====

19.
A plane-wave DFT calculation with GGA-PBE was carried out for a geometry-optimized Y6P3PbS2 structure.

Cell and atoms, written as POSCAR:
```
Y6P3PbS2
1.0
8.869 -2.005 0.000
8.869 2.005 0.000
-1.914 0.000 8.009
Y P Pb S
6 3 1 2
Cartesian
17.301 0.000 1.823
-1.477 0.000 6.186
4.972 0.000 3.341
4.191 0.000 7.290
11.634 0.000 0.720
10.852 0.000 4.669
2.316 0.000 2.652
8.869 0.000 0.000
13.508 0.000 5.358
7.912 0.000 4.005
1.413 0.000 6.729
14.411 0.000 1.280
```

Results
Formation energy without anion corrections = -18.82 eV per formula unit
V = 23.735 Å³/atom
Crystal system = monoclinic
Space group = C2/m, No. 12
DFT total energy = -7.150 eV/atom

=====

20.
A plane-wave DFT calculation with GGA-PBE was carried out for a geometry-optimized NpTl3In2Se6 structure.

Cell and atoms, written as POSCAR:
```
NpTl3In2Se6
1.0
9.809 -2.060 0.000
9.809 2.060 0.000
-3.014 0.000 8.589
Np Tl In Se
1 3 2 6
Cartesian
0.000 0.000 0.000
-1.507 0.000 4.295
6.040 0.000 1.438
10.563 0.000 7.152
4.457 0.000 5.678
12.145 0.000 2.911
2.738 0.000 0.991
1.774 0.000 4.762
7.283 0.000 6.662
9.320 0.000 1.928
14.829 0.000 3.827
13.865 0.000 7.598
```

Results
Formation energy without anion corrections = -7.37 eV per formula unit
V = 28.922 Å³/atom
Crystal system = monoclinic
Space group = C2/m, No. 12
DFT total energy = -4.483 eV/atom